Ir2BrCl: optimized geometry, PBE.

```
data_Ir2BrCl
_symmetry_space_group_name_H-M 'P 1'
_symmetry_Int_Tables_number 1
_symmetry_space_group_name_Hall 'P 1'
_cell_length_a 3.650
_cell_length_b 5.037
_cell_length_c 5.242
_cell_angle_alpha 66.28
_cell_angle_beta 90.00
_cell_angle_gamma 90.00
loop_
_atom_site_label
_atom_site_fract_x
_atom_site_fract_y
_atom_site_fract_z
_atom_site_occupancy
Ir1 0.000 0.074 0.981 1
Ir2 0.500 0.270 0.160 1
Br1 0.000 0.390 0.477 1
Cl1 0.500 0.766 0.881 1
```

calculated volume: 88.24 Å³ per cell
space-group type: Pm, No. 6
mass density: 9.41 g/cm³
ΔE_f (raw): 576.3 meV/atom
Fermi-level density of states: 2.5 states/eV/f.u.
ΔE to the lowest computed polymorph: 365.9 meV/atom
total magnetic moment: 0.0 μB per cell